Record 1
Here is a relaxed CsCrIr2Cl crystal from the Alexandria database. Energies are from PBE.

```
CsCrIr2Cl
1.0
5.152 0.000 0.000
0.000 5.984 0.000
0.000 0.000 5.152
Ir Cl Cs Cr
2 1 1 1
Direct
0.500 0.000 0.000
0.000 0.000 0.500
0.500 0.500 0.500
0.000 0.000 0.000
0.000 0.500 0.000
```

Values from the calculation:
Symmetry   P4/mmm, No. 123
Uncorrected formation energy   2658.2 meV/atom
Calculated volume   31.77 A^3/atom

Record 2
Here is a relaxed UReAu crystal from the Alexandria database. Energies are from PBE.

```
UReAu
1.0
-2.983 -0.408 0.299
-2.698 -3.240 -0.738
10.103 2.807 12.799
U Au Re
2 2 2
Direct
0.732 0.714 0.232
0.268 0.286 0.768
0.916 0.583 0.416
0.084 0.417 0.584
0.562 0.874 0.062
0.438 0.126 0.938
```

Values from the calculation:
Symmetry   P4/nmm, No. 129
Calculated formation energy   -36 meV per atom
Calculated volume   19.00 A^3/atom

Record 3
Here is a relaxed KErAuS2 crystal from the Alexandria database. Energies are from PBE.

```
KErAuS2
1.0
4.974 0.000 0.000
0.000 7.280 0.459
0.000 -1.722 7.391
Er Au S K
2 2 4 2
Direct
0.507 0.000 0.750
0.493 0.000 0.250
0.000 0.000 0.000
0.000 0.000 0.500
0.647 0.756 0.963
0.353 0.756 0.463
0.353 0.244 0.037
0.647 0.244 0.537
0.138 0.500 0.750
0.862 0.500 0.250
```

Values from the calculation:
Symmetry   P2/c, No. 13
Uncorrected formation energy   -1153.0 meV/atom
Calculated volume   27.16 A^3/atom